[1]
This record from Alexandria via LeMat-Bulk describes BeVGe2 after structural relaxation. The functional is PBE-GGA.

Computed properties:
SG   No. 166
Formation enthalpy at 0 K   24 kJ/mol of atoms

a b c (Å): 8.5642 8.5642 8.5642
angles (deg): 19.49 19.49 19.49
Positions (direct):
Be1 0.0000 0.0000 0.0000
V1 0.5000 0.5000 0.5000
Ge1 0.0878 0.0878 0.0878
Ge2 0.9122 0.9122 0.9122

[2]
This record from Alexandria via LeMat-Bulk describes MgTlGa2Ir after structural relaxation. The functional is PBE-GGA.

Computed properties:
SG   No. 123
Formation enthalpy at 0 K   -21 kJ/mol of atoms

a b c (Å): 4.8270 4.8270 5.1304
angles (deg): 90.00 90.00 90.00
Positions (direct):
Mg1 0.0000 0.0000 0.0000
Tl1 0.5000 0.5000 0.0000
Ga1 0.0000 0.5000 0.5000
Ga2 0.5000 0.0000 0.5000
Ir1 0.0000 0.0000 0.5000

[3]
This record from Alexandria via LeMat-Bulk describes Sc2CoSn after structural relaxation. The functional is PBE-GGA.

Computed properties:
SG   No. 123
Formation enthalpy at 0 K   -44 kJ/mol of atoms

a b c (Å): 3.1680 3.1680 7.6006
angles (deg): 90.00 90.00 90.00
Positions (direct):
Sc1 0.0000 0.0000 0.2011
Sc2 0.0000 0.0000 0.7989
Co1 0.5000 0.5000 0.0000
Sn1 0.5000 0.5000 0.5000

[4]
This record from Alexandria via LeMat-Bulk describes FeSe2BrN after structural relaxation. The functional is PBE-GGA.

Computed properties:
E above lowest polymorph   1016.9 meV per atom
SG   No. 123
Energy relative to the elements, uncorrected   7.540 eV/f.u.

a b c (Å): 4.5054 4.5054 4.9542
angles (deg): 90.00 90.00 90.00
Positions (direct):
Fe1 0.0000 0.0000 0.0000
Se1 0.0000 0.5000 0.0000
Se2 0.5000 0.0000 0.0000
Br1 0.0000 0.0000 0.5000
N1 0.5000 0.5000 0.5000

[5]
This record from Alexandria via LeMat-Bulk describes BaNa3Cd8 after structural relaxation. The functional is PBE-GGA.

Computed properties:
E above lowest polymorph   3.2 meV per atom
SG   No. 160
Formation enthalpy at 0 K   -16 kJ/mol of atoms

a b c (Å): 10.7927 10.7927 10.7927
angles (deg): 32.68 32.68 32.68
Positions (direct):
Ba1 0.0000 0.0000 0.0000
Na1 0.3809 0.3809 0.3809
Na2 0.5011 0.5011 0.5011
Na3 0.8720 0.8720 0.8720
Cd1 0.1870 0.1870 0.1870
Cd2 0.4351 0.4351 0.9333
Cd3 0.4351 0.9333 0.4351
Cd4 0.4424 0.9377 0.9377
Cd5 0.6885 0.6885 0.6885
Cd6 0.9333 0.4351 0.4351
Cd7 0.9377 0.4424 0.9377
Cd8 0.9377 0.9377 0.4424

[6]
This record from Alexandria via LeMat-Bulk describes Cs3Ag2SnI9 after structural relaxation. The functional is PBE-GGA.

Computed properties:
SG   No. 164
Energy relative to the elements, uncorrected   -11.835 eV/f.u.

a b c (Å): 8.4360 8.4360 10.4463
angles (deg): 90.00 90.00 120.00
Positions (direct):
Cs1 0.0000 0.0000 0.0000
Cs2 0.3333 0.6667 0.6787
Cs3 0.6667 0.3333 0.3213
Ag1 0.3333 0.6667 0.1560
Ag2 0.6667 0.3333 0.8440
Sn1 0.0000 0.0000 0.5000
I1 0.0000 0.5000 0.0000
I2 0.1686 0.3372 0.3345
I3 0.1686 0.8314 0.3345
I4 0.3372 0.1686 0.6655
I5 0.5000 0.0000 0.0000
I6 0.5000 0.5000 0.0000
I7 0.6628 0.8314 0.3345
I8 0.8314 0.1686 0.6655
I9 0.8314 0.6628 0.6655

These records have size of the total moment values of 0.00 0.00 0.15 0.00 0.00 0.00 μB/f.u., in the order they appear.